No. 1
# AcB2Pb2O6 PBE relaxed
data_AcB2Pb2O6
_symmetry_space_group_name_H-M 'P -3'
_symmetry_Int_Tables_number 147
_symmetry_space_group_name_Hall '-P 3'
_cell_length_a 5.1450
_cell_length_b 5.1450
_cell_length_c 8.6766
_cell_angle_alpha 90.00
_cell_angle_beta 90.00
_cell_angle_gamma 120.00
loop_
_atom_site_label
_atom_site_type_symbol
_atom_site_fract_x
_atom_site_fract_y
_atom_site_fract_z
Ac1 Ac 0.0000 0.0000 0.0000
B1 B 0.3333 0.6667 0.8158
Pb1 Pb 0.3333 0.6667 0.3525
O1 O 0.0499 0.6364 0.8197
# magnetization: 0.0 μB/f.u.
# E_tot: -7.14 eV/atom
# E_form (uncorrected): -2307 kJ/mol of formula units

No. 2
# Ac3B4PbO12 PBE relaxed
data_Ac3B4PbO12
_symmetry_space_group_name_H-M 'R 3 2'
_symmetry_Int_Tables_number 155
_symmetry_space_group_name_Hall 'R 3 2"'
_cell_length_a 10.6744
_cell_length_b 10.6744
_cell_length_c 9.4228
_cell_angle_alpha 90.00
_cell_angle_beta 90.00
_cell_angle_gamma 120.00
loop_
_atom_site_label
_atom_site_type_symbol
_atom_site_fract_x
_atom_site_fract_y
_atom_site_fract_z
Ac1 Ac 0.0000 0.5181 0.0000
B1 B 0.0000 0.0000 0.5000
B2 B 0.0000 0.4829 0.5000
Pb1 Pb 0.0000 0.0000 0.0000
O1 O 0.0000 0.6114 0.5000
O2 O 0.0000 0.8705 0.5000
O3 O 0.0179 0.2041 0.8403
# magnetization: 0.0 μB/f.u.
# E_tot: -7.79 eV/atom
# E_form (uncorrected): -5163 kJ/mol of formula units

No. 3
# Ac3B2PbO8 PBE relaxed
data_Ac3B2PbO8
_symmetry_space_group_name_H-M 'P -3 m 1'
_symmetry_Int_Tables_number 164
_symmetry_space_group_name_Hall '-P 3 2"'
_cell_length_a 5.3163
_cell_length_b 5.3163
_cell_length_c 8.5605
_cell_angle_alpha 90.00
_cell_angle_beta 90.00
_cell_angle_gamma 120.00
loop_
_atom_site_label
_atom_site_type_symbol
_atom_site_fract_x
_atom_site_fract_y
_atom_site_fract_z
Ac1 Ac 0.0000 0.0000 0.0000
Ac2 Ac 0.3333 0.6667 0.7376
B1 B 0.3333 0.6667 0.1836
Pb1 Pb 0.0000 0.0000 0.5000
O1 O 0.1795 0.3590 0.2384
O2 O 0.3333 0.6667 0.0059
# magnetization: 1.0 μB/f.u.
# E_tot: -7.55 eV/atom
# E_form (uncorrected): -3537 kJ/mol of formula units

No. 4
# Ac2BPdO5 PBE relaxed
data_Ac2BPdO5
_symmetry_space_group_name_H-M 'P 4/m b m'
_symmetry_Int_Tables_number 127
_symmetry_space_group_name_Hall '-P 4 2ab'
_cell_length_a 7.3082
_cell_length_b 7.3082
_cell_length_c 5.0451
_cell_angle_alpha 90.00
_cell_angle_beta 90.00
_cell_angle_gamma 90.00
loop_
_atom_site_label
_atom_site_type_symbol
_atom_site_fract_x
_atom_site_fract_y
_atom_site_fract_z
Ac1 Ac 0.1894 0.3106 0.0000
B1 B 0.0000 0.5000 0.5000
Pd1 Pd 0.0000 0.0000 0.5000
O1 O 0.0000 0.0000 0.0000
O2 O 0.1067 0.6067 0.2801
# magnetization: 1.0 μB/f.u.
# E_tot: -6.96 eV/atom
# E_form (uncorrected): -1712 kJ/mol of formula units

No. 5
# AcB2PdO6 PBE relaxed
data_AcB2PdO6
_symmetry_space_group_name_H-M 'R -3'
_symmetry_Int_Tables_number 148
_symmetry_space_group_name_Hall '-R 3'
_cell_length_a 5.0352
_cell_length_b 5.0352
_cell_length_c 17.0950
_cell_angle_alpha 90.00
_cell_angle_beta 90.00
_cell_angle_gamma 120.00
loop_
_atom_site_label
_atom_site_type_symbol
_atom_site_fract_x
_atom_site_fract_y
_atom_site_fract_z
Ac1 Ac 0.0000 0.0000 0.0000
B1 B 0.0000 0.0000 0.2359
Pd1 Pd 0.0000 0.0000 0.5000
O1 O 0.0398 0.6244 0.9079
# magnetization: 1.0 μB/f.u.
# E_tot: -7.39 eV/atom
# E_form (uncorrected): -2071 kJ/mol of formula units

No. 6
# Ac3B2PdO8 PBE relaxed
data_Ac3B2PdO8
_symmetry_space_group_name_H-M 'P -3 m 1'
_symmetry_Int_Tables_number 164
_symmetry_space_group_name_Hall '-P 3 2"'
_cell_length_a 5.3607
_cell_length_b 5.3607
_cell_length_c 7.3676
_cell_angle_alpha 90.00
_cell_angle_beta 90.00
_cell_angle_gamma 120.00
loop_
_atom_site_label
_atom_site_type_symbol
_atom_site_fract_x
_atom_site_fract_y
_atom_site_fract_z
Ac1 Ac 0.0000 0.0000 0.0000
Ac2 Ac 0.3333 0.6667 0.6829
B1 B 0.3333 0.6667 0.2002
Pd1 Pd 0.0000 0.0000 0.5000
O1 O 0.1817 0.3633 0.2706
O2 O 0.3333 0.6667 0.9991
# magnetization: 1.0 μB/f.u.
# E_tot: -7.64 eV/atom
# E_form (uncorrected): -3520 kJ/mol of formula units

No. 7
# AcBPdO4 PBE relaxed
data_AcBPdO4
_symmetry_space_group_name_H-M 'I m m a'
_symmetry_Int_Tables_number 74
_symmetry_space_group_name_Hall '-I 2b 2'
_cell_length_a 5.2997
_cell_length_b 8.7545
_cell_length_c 8.0647
_cell_angle_alpha 90.00
_cell_angle_beta 90.00
_cell_angle_gamma 90.00
loop_
_atom_site_label
_atom_site_type_symbol
_atom_site_fract_x
_atom_site_fract_y
_atom_site_fract_z
Ac1 Ac 0.0000 0.0000 0.0000
B1 B 0.0000 0.2500 0.3962
Pd1 Pd 0.2500 0.2500 0.7500
O1 O 0.0000 0.1061 0.3057
O2 O 0.2337 0.2500 0.5050
# magnetization: 1.4 μB/f.u.
# E_tot: -7.04 eV/atom
# E_form (uncorrected): -1299 kJ/mol of formula units

No. 8
# AcPmBO5 PBE relaxed
data_AcPmBO5
_symmetry_space_group_name_H-M 'C m c m'
_symmetry_Int_Tables_number 63
_symmetry_space_group_name_Hall '-C 2c 2'
_cell_length_a 6.9699
_cell_length_b 8.9854
_cell_length_c 7.4786
_cell_angle_alpha 90.00
_cell_angle_beta 90.00
_cell_angle_gamma 90.00
loop_
_atom_site_label
_atom_site_type_symbol
_atom_site_fract_x
_atom_site_fract_y
_atom_site_fract_z
Ac1 Ac 0.0000 0.0000 0.0000
Pm1 Pm 0.0000 0.4019 0.2500
B1 B 0.0000 0.2653 0.7500
O1 O 0.0000 0.1510 0.2500
O2 O 0.0000 0.3591 0.5873
O3 O 0.1688 0.1557 0.7500
# magnetization: 1.1 μB/f.u.
# E_tot: -7.75 eV/atom
# E_form (uncorrected): -2091 kJ/mol of formula units

No. 9
# Ac3PmB4O12 PBE relaxed
data_Ac3PmB4O12
_symmetry_space_group_name_H-M 'R 3 2'
_symmetry_Int_Tables_number 155
_symmetry_space_group_name_Hall 'R 3 2"'
_cell_length_a 10.5330
_cell_length_b 10.5330
_cell_length_c 9.4007
_cell_angle_alpha 90.00
_cell_angle_beta 90.00
_cell_angle_gamma 120.00
loop_
_atom_site_label
_atom_site_type_symbol
_atom_site_fract_x
_atom_site_fract_y
_atom_site_fract_z
Ac1 Ac 0.0000 0.5134 0.0000
Pm1 Pm 0.0000 0.0000 0.0000
B1 B 0.0000 0.0000 0.5000
B2 B 0.0000 0.4847 0.5000
O1 O 0.0000 0.6152 0.5000
O2 O 0.0000 0.8694 0.5000
O3 O 0.0204 0.1992 0.8446
# magnetization: 0.0 μB/f.u.
# E_tot: -8.17 eV/atom
# E_form (uncorrected): -5807 kJ/mol of formula units